No. 1
Below is a geometry-optimized LiHf2HPd structure, with properties calculated at the PBE level.

Lattice parameters (Å, degrees): 4.413 4.413 3.749 90.00 90.00 90.00
Sites, in units of the cell vectors:
Li (0.000, 0.000, 0.000)
Hf (0.000, 0.500, 0.500)
Hf (0.500, 0.000, 0.500)
H (0.000, 0.000, 0.500)
Pd (0.500, 0.500, 0.000)

Values from the calculation:
- M_tot: 0.00 μB/cell
- Density: 10.72 g/cm3
- N(E_F): 3.278 states/eV/f.u.
- DFT total energy: -6.36 eV per atom

No. 2
Below is a geometry-optimized Sm3YCd6 structure, with properties calculated at the PBE level.

Lattice parameters (Å, degrees): 9.351 5.193 11.136 90.00 104.88 90.00
Sites, in units of the cell vectors:
Sm (0.025, 0.250, 0.393)
Sm (0.151, 0.750, 0.213)
Sm (0.262, 0.250, 0.004)
Sm (0.738, 0.750, 0.996)
Sm (0.849, 0.250, 0.787)
Sm (0.975, 0.750, 0.607)
Y (0.445, 0.250, 0.607)
Y (0.555, 0.750, 0.393)
Cd (0.051, 0.750, 0.908)
Cd (0.165, 0.250, 0.709)
Cd (0.267, 0.750, 0.509)
Cd (0.356, 0.750, 0.809)
Cd (0.357, 0.250, 0.309)
Cd (0.450, 0.750, 0.104)
Cd (0.550, 0.250, 0.896)
Cd (0.643, 0.750, 0.691)
Cd (0.644, 0.250, 0.191)
Cd (0.733, 0.250, 0.491)
Cd (0.835, 0.750, 0.291)
Cd (0.949, 0.250, 0.092)

Values from the calculation:
- M_tot: 0.66 μB/cell
- Density: 7.72 g/cm3
- Energy of formation from the pure elements: -299 meV/atom
- N(E_F): 8.316 states/eV/f.u.
- DFT total energy: -2.91 eV per atom

No. 3
Below is a geometry-optimized Y2HfTiPt structure, with properties calculated at the PBE level.

Lattice parameters (Å, degrees): 5.370 5.370 4.885 90.00 90.00 90.00
Sites, in units of the cell vectors:
Y (0.000, 0.500, 0.000)
Y (0.500, 0.000, 0.000)
Hf (0.000, 0.000, 0.500)
Ti (0.500, 0.500, 0.500)
Pt (0.500, 0.500, 0.000)

Values from the calculation:
- M_tot: 2.42 μB/cell
- Density: 7.06 g/cm3
- Energy of formation from the pure elements: 197 meV/atom
- N(E_F): 8.702 states/eV/f.u.
- DFT total energy: -7.17 eV per atom

No. 4
Below is a geometry-optimized Sr3PdPt structure, with properties calculated at the PBE level.

Lattice parameters (Å, degrees): 5.751 5.751 5.751 90.00 90.00 90.00
Sites, in units of the cell vectors:
Sr (0.000, 0.000, 0.500)
Sr (0.000, 0.500, 0.000)
Sr (0.500, 0.000, 0.000)
Pd (0.500, 0.500, 0.500)
Pt (0.000, 0.000, 0.000)

Values from the calculation:
- M_tot: 0.00 μB/cell
- Density: 4.93 g/cm3
- Energy above the lowest structure with this stoichiometry: 0.348 eV per atom
- Energy of formation from the pure elements: -290 meV/atom
- N(E_F): 3.077 states/eV/f.u.
- DFT total energy: -3.55 eV per atom

No. 5
Below is a geometry-optimized YBeAu2 structure, with properties calculated at the PBE level.

Lattice parameters (Å, degrees): 4.480 4.480 3.830 90.00 90.00 90.00
Sites, in units of the cell vectors:
Y (0.000, 0.000, 0.000)
Be (0.500, 0.500, 0.000)
Au (0.000, 0.500, 0.500)
Au (0.500, 0.000, 0.500)

Values from the calculation:
- M_tot: 0.00 μB/cell
- Density: 10.62 g/cm3
- Energy of formation from the pure elements: -223 meV/atom
- N(E_F): 2.337 states/eV/f.u.
- DFT total energy: -4.41 eV per atom

No. 6
Below is a geometry-optimized NaMgCrS2 structure, with properties calculated at the PBE level.

Lattice parameters (Å, degrees): 4.903 4.903 5.040 90.00 90.00 90.00
Sites, in units of the cell vectors:
Na (0.000, 0.000, 0.000)
Mg (0.500, 0.500, 0.500)
Cr (0.500, 0.500, 0.000)
S (0.000, 0.500, 0.500)
S (0.500, 0.000, 0.500)

Values from the calculation:
- M_tot: 5.30 μB/cell
- Density: 2.24 g/cm3
- N(E_F): 1.710 states/eV/f.u.
- Energy relative to the elements, uncorrected: 0.888 eV per formula unit
- DFT total energy: -3.98 eV per atom

No. 7
Below is a geometry-optimized Cu2I3Br structure, with properties calculated at the PBE level.

Lattice parameters (Å, degrees): 13.387 13.387 7.811 106.79 106.79 18.50
Sites, in units of the cell vectors:
Cu (0.048, 0.048, 0.119)
Cu (0.298, 0.298, 0.704)
Cu (0.702, 0.702, 0.296)
Cu (0.952, 0.952, 0.881)
I (0.035, 0.035, 0.779)
I (0.272, 0.272, 0.347)
I (0.400, 0.400, 0.726)
I (0.600, 0.600, 0.274)
I (0.728, 0.728, 0.653)
I (0.965, 0.965, 0.221)
Br (0.319, 0.319, 0.019)
Br (0.681, 0.681, 0.981)

Values from the calculation:
- M_tot: 0.00 μB/cell
- Density: 4.60 g/cm3
- N(E_F): 6.360 states/eV/f.u.
- Energy relative to the elements, uncorrected: -0.479 eV per formula unit
- DFT total energy: -2.50 eV per atom

No. 8
Below is a geometry-optimized PmSm2In3Te6 structure, with properties calculated at the PBE level.

Lattice parameters (Å, degrees): 7.769 7.769 8.517 98.75 98.75 120.01
Sites, in units of the cell vectors:
Pm (0.000, 0.000, 0.000)
Sm (0.333, 0.667, 0.000)
Sm (0.667, 0.333, 0.000)
In (0.166, 0.834, 0.500)
In (0.500, 0.500, 0.500)
In (0.834, 0.166, 0.500)
Te (0.075, 0.410, 0.225)
Te (0.260, 0.260, 0.776)
Te (0.410, 0.075, 0.225)
Te (0.590, 0.925, 0.775)
Te (0.740, 0.740, 0.224)
Te (0.925, 0.590, 0.775)

Values from the calculation:
- M_tot: 0.00 μB/cell
- Density: 6.09 g/cm3
- N(E_F): 1.464 states/eV/f.u.
- Energy relative to the elements, uncorrected: -11.867 eV per formula unit
- DFT total energy: -4.43 eV per atom